(1)
# MgBOs2Pd

A geometry-optimized MgBOs2Pd structure (PBEsol, Alexandria via LeMat-Bulk).

abc: 4.4636 4.4636 4.2398
angles: 90.00 90.00 90.00
Space group P4/mmm (No. 123)
Unique sites:
Mg 0.0000 0.0000 0.0000 (multiplicity 1)
B 0.5000 0.5000 0.5000 (multiplicity 1)
Os 0.0000 0.5000 0.0000 (multiplicity 2)
Pd 0.0000 0.0000 0.5000 (multiplicity 1)

Summary:
The calculation puts the electronic total energy at -4.923 eV/atom. The total moment is 1.32 μB/f.u. Its crystal system is tetragonal. For the mass density, the calculation gives 10.261 g/cm3.


(2)
# CaY2

A geometry-optimized CaY2 structure (PBEsol, Alexandria via LeMat-Bulk).

abc: 3.5964 3.5964 15.3824
angles: 90.00 90.00 90.00
Space group I4/mmm (No. 139)
Unique sites:
Ca 0.0000 0.0000 0.0000 (multiplicity 2)
Y 0.0000 0.0000 0.3239 (multiplicity 4)

Summary:
The calculation puts the electronic total energy at -5.189 eV/atom. The total moment is 0.00 μB/f.u. Its crystal system is tetragonal. For the mass density, the calculation gives 3.637 g/cm3.


(3)
# Al3PdO

A geometry-optimized Al3PdO structure (PBEsol, Alexandria via LeMat-Bulk).

abc: 4.6161 4.6161 4.6161
angles: 90.00 90.00 90.00
Space group Pm-3m (No. 221)
Unique sites:
Al 0.0000 0.0000 0.5000 (multiplicity 3)
Pd 0.0000 0.0000 0.0000 (multiplicity 1)
O 0.5000 0.5000 0.5000 (multiplicity 1)

Summary:
The calculation puts the electronic total energy at -4.573 eV/atom. The total moment is 0.78 μB/f.u. Its crystal system is cubic. For the mass density, the calculation gives 3.433 g/cm3. The value obtained for the energy relative to the elements, uncorrected is 123.4 meV per atom.